w:
Material: CaCeTm
Method: DFT, GGA-PBE
State: relaxed

As for the volume: 33.1 A^3/atom. For the magnetic moment, the calculation gives 1.05 μB/cell.

Lattice parameters (Å, degrees): 3.5671 3.5671 9.0024 90.00 90.00 120.00
Last column: nearest neighbours and their distance in Å.
Positions (direct):
Ca 0.0000 0.0000 0.0000  6 Ca 3.57, 3 Tm 3.72, 3 Ce 3.78
Ce 0.3333 0.6667 0.6483  3 Tm 3.42, 6 Ce 3.57, 3 Ca 3.78
Tm 0.6667 0.3333 0.3448  3 Ce 3.42, 6 Tm 3.57, 3 Ca 3.72

---

x:
Material: CaCeTm
Method: DFT, GGA-PBE
State: relaxed

As for the volume: 33.4 A^3/atom. For the magnetic moment, the calculation gives 1.88 μB/cell.

Lattice parameters (Å, degrees): 3.5545 3.5545 15.8554 90.00 90.00 90.00
Last column: nearest neighbours and their distance in Å.
Positions (direct):
Ca 0.0000 0.0000 0.0000  4 Ca 3.55, 4 Tm 3.75, 4 Ce 3.78
Ca 0.5000 0.5000 0.5000  4 Ca 3.55, 4 Tm 3.75, 4 Ce 3.78
Ce 0.0000 0.0000 0.3220  4 Tm 3.42, 4 Ce 3.55, 4 Ca 3.78
Ce 0.5000 0.5000 0.8220  4 Tm 3.42, 4 Ce 3.55, 4 Ca 3.78
Tm 0.0000 0.0000 0.6753  4 Ce 3.42, 4 Tm 3.55, 4 Ca 3.75
Tm 0.5000 0.5000 0.1753  4 Ce 3.42, 4 Tm 3.55, 4 Ca 3.75

---

Ranked by calculated energy, most stable first: w, x.

---

w:
Material: CaCeY2
Method: DFT, GGA-PBE
State: relaxed

As for the volume: 33.1 A^3/atom. For the magnetic moment, the calculation gives 1.21 μB/cell.

Lattice parameters (Å, degrees): 3.5937 3.5937 35.5668 90.00 90.00 120.00
Last column: nearest neighbours and their distance in Å.
Positions (direct):
Ca 0.0000 0.0000 0.0000  6 Ca 3.59, 6 Y 3.76-3.80
Ca 0.3333 0.6667 0.6667  6 Ca 3.59, 6 Y 3.76-3.80
Ca 0.6667 0.3333 0.3333  6 Ca 3.59, 6 Y 3.76-3.80
Ce 0.0000 0.0000 0.1657  6 Y 3.45-3.47, 6 Ce 3.59
Ce 0.3333 0.6667 0.8324  6 Y 3.45-3.47, 6 Ce 3.59
Ce 0.6667 0.3333 0.4991  6 Y 3.45-3.47, 6 Ce 3.59
Y 0.0000 0.0000 0.5773  3 Ce 3.47, 6 Y 3.59, 3 Ca 3.80
Y 0.0000 0.0000 0.7548  3 Ce 3.45, 6 Y 3.59, 3 Ca 3.76
Y 0.3333 0.6667 0.2439  3 Ce 3.47, 6 Y 3.59, 3 Ca 3.80
Y 0.3333 0.6667 0.4215  3 Ce 3.45, 6 Y 3.59, 3 Ca 3.76
Y 0.6667 0.3333 0.0881  3 Ce 3.45, 6 Y 3.59, 3 Ca 3.76
Y 0.6667 0.3333 0.9106  3 Ce 3.47, 6 Y 3.59, 3 Ca 3.80

---

x:
Material: CaCeY2
Method: DFT, GGA-PBE
State: relaxed

As for the volume: 33.4 A^3/atom. For the magnetic moment, the calculation gives 1.38 μB/cell.

Lattice parameters (Å, degrees): 3.5972 3.5972 35.7230 90.00 90.00 120.00
Last column: nearest neighbours and their distance in Å.
Positions (direct):
Ca 0.0000 0.0000 0.0000  6 Ca 3.60, 6 Y 3.79
Ca 0.3333 0.6667 0.6667  6 Ca 3.60, 6 Y 3.79
Ca 0.6667 0.3333 0.3333  6 Ca 3.60, 6 Y 3.79
Ce 0.0000 0.0000 0.5000  6 Y 3.47, 6 Ce 3.60
Ce 0.3333 0.6667 0.1667  6 Y 3.47, 6 Ce 3.60
Ce 0.6667 0.3333 0.8333  6 Y 3.47, 6 Ce 3.60
Y 0.0000 0.0000 0.2445  3 Ce 3.47, 6 Y 3.60, 3 Ca 3.79
Y 0.0000 0.0000 0.7555  3 Ce 3.47, 6 Y 3.60, 3 Ca 3.79
Y 0.3333 0.6667 0.4221  3 Ce 3.47, 6 Y 3.60, 3 Ca 3.79
Y 0.3333 0.6667 0.9112  3 Ce 3.47, 6 Y 3.60, 3 Ca 3.79
Y 0.6667 0.3333 0.0888  3 Ce 3.47, 6 Y 3.60, 3 Ca 3.79
Y 0.6667 0.3333 0.5779  3 Ce 3.47, 6 Y 3.60, 3 Ca 3.79

---

y:
Material: CaCeY2
Method: DFT, GGA-PBE
State: relaxed

As for the volume: 34.1 A^3/atom. For the magnetic moment, the calculation gives 7.87 μB/cell.

Lattice parameters (Å, degrees): 8.1751 8.1751 8.1751 90.00 90.00 90.00
Last column: nearest neighbours and their distance in Å.
Positions (direct):
Ca 0.0000 0.0000 0.0000  8 Y 3.54
Ca 0.0000 0.5000 0.5000  8 Y 3.54
Ca 0.5000 0.0000 0.5000  8 Y 3.54
Ca 0.5000 0.5000 0.0000  8 Y 3.54
Ce 0.0000 0.0000 0.5000  8 Y 3.54
Ce 0.0000 0.5000 0.0000  8 Y 3.54
Ce 0.5000 0.0000 0.0000  8 Y 3.54
Ce 0.5000 0.5000 0.5000  8 Y 3.54
Y 0.2500 0.2500 0.2500  4 Ce 3.54, 4 Ca 3.54
Y 0.2500 0.2500 0.7500  4 Ce 3.54, 4 Ca 3.54
Y 0.2500 0.7500 0.2500  4 Ce 3.54, 4 Ca 3.54
Y 0.2500 0.7500 0.7500  4 Ce 3.54, 4 Ca 3.54
Y 0.7500 0.2500 0.2500  4 Ce 3.54, 4 Ca 3.54
Y 0.7500 0.2500 0.7500  4 Ce 3.54, 4 Ca 3.54
Y 0.7500 0.7500 0.2500  4 Ce 3.54, 4 Ca 3.54
Y 0.7500 0.7500 0.7500  4 Ce 3.54, 4 Ca 3.54

---

z:
Material: CaCeY2
Method: DFT, GGA-PBE
State: relaxed

As for the volume: 33.8 A^3/atom. For the magnetic moment, the calculation gives 1.79 μB/cell.

Lattice parameters (Å, degrees): 5.1639 5.1639 5.0733 90.00 90.00 90.00
Last column: nearest neighbours and their distance in Å.
Positions (direct):
Ca 0.0000 0.0000 0.0000  8 Y 3.62, 4 Ce 3.65
Ce 0.5000 0.5000 0.0000  8 Y 3.62, 4 Ca 3.65
Y 0.0000 0.5000 0.5000  4 Ce 3.62, 4 Ca 3.62, 4 Y 3.65
Y 0.5000 0.0000 0.5000  4 Ce 3.62, 4 Ca 3.62, 4 Y 3.65

---

Ranked by calculated energy, most stable first: w, x, z, y.

---

w:
Material: CaCeZn
Method: DFT, GGA-PBE
State: relaxed

As for the volume: 28.5 A^3/atom. For the magnetic moment, the calculation gives 2.53 μB/cell.

Lattice parameters (Å, degrees): 3.5299 3.5299 13.7002 90.00 90.00 90.00
Last column: nearest neighbours and their distance in Å.
Positions (direct):
Ca 0.0000 0.0000 0.0000  4 Zn 3.17, 4 Ca 3.53
Ca 0.5000 0.5000 0.5000  4 Zn 3.17, 4 Ca 3.53
Ce 0.0000 0.0000 0.2779  4 Zn 3.11
Ce 0.5000 0.5000 0.7779  4 Zn 3.11
Zn 0.0000 0.0000 0.6420  4 Ce 3.11, 4 Ca 3.17
Zn 0.5000 0.5000 0.1420  4 Ce 3.11, 4 Ca 3.17

---

x:
Material: CaCeZn
Method: DFT, GGA-PBE
State: relaxed

As for the volume: 27.6 A^3/atom. For the magnetic moment, the calculation gives 1.28 μB/cell.

Lattice parameters (Å, degrees): 5.1997 5.1997 3.5338 90.00 90.00 120.00
Last column: nearest neighbours and their distance in Å.
Positions (direct):
Ca 0.0000 0.0000 0.0000  3 Zn 3.09, 3 Ce 3.39
Ce 0.3333 0.6667 0.4434  3 Zn 3.25, 6 Ca 3.39-3.59, 2 Ce 3.53
Zn 0.6667 0.3333 0.7951  3 Ca 3.09, 3 Ce 3.25

---

y:
Material: CaCeZn
Method: DFT, GGA-PBE
State: relaxed

As for the volume: 27.1 A^3/atom. For the magnetic moment, the calculation gives 0.57 μB/cell.

Lattice parameters (Å, degrees): 3.6903 3.6813 11.9715 90.00 91.93 90.00
Last column: nearest neighbours and their distance in Å.
Positions (direct):
Ca 0.2310 0.2500 0.3729  4 Zn 3.18-3.22
Ca 0.7690 0.7500 0.6271  4 Zn 3.18-3.22
Ce 0.1732 0.2500 0.0699  2 Ce 2.77
Ce 0.8268 0.7500 0.9301  2 Ce 2.77
Zn 0.2968 0.2500 0.7824  5 Ce 3.12-3.49, 4 Ca 3.18-3.22
Zn 0.7032 0.7500 0.2176  5 Ce 3.12-3.49, 4 Ca 3.18-3.22

---

Ranked by calculated energy, most stable first: y, w, x.

---

w:
Material: CaCeZn4
Method: DFT, GGA-PBE
State: relaxed

As for the volume: 22.7 A^3/atom. For the magnetic moment, the calculation gives 2.76 μB/cell.

Lattice parameters (Å, degrees): 4.2097 4.2097 15.3649 90.00 90.00 90.00
Last column: nearest neighbours and their distance in Å.
Positions (direct):
Ca 0.0000 0.0000 0.0000  12 Zn 3.23-3.33
Ca 0.5000 0.5000 0.5000  12 Zn 3.23-3.33
Ce 0.0000 0.5000 0.7500  12 Zn 3.23-3.33
Ce 0.5000 0.0000 0.2500  12 Zn 3.23-3.33
Zn 0.0000 0.0000 0.4176  3 Zn 2.48-2.53
Zn 0.0000 0.0000 0.5824  3 Zn 2.48-2.53
Zn 0.0000 0.5000 0.1678  3 Zn 2.48-2.53
Zn 0.0000 0.5000 0.3322  3 Zn 2.48-2.53
Zn 0.5000 0.0000 0.6678  3 Zn 2.48-2.53
Zn 0.5000 0.0000 0.8322  3 Zn 2.48-2.53
Zn 0.5000 0.5000 0.0824  3 Zn 2.48-2.53
Zn 0.5000 0.5000 0.9176  3 Zn 2.48-2.53

---

x:
Material: CaCeZn4
Method: DFT, GGA-PBE
State: relaxed

As for the volume: 19.9 A^3/atom. For the magnetic moment, the calculation gives 0.37 μB/cell.

Lattice parameters (Å, degrees): 5.5294 5.5294 5.5294 60.00 60.00 60.00
Last column: nearest neighbours and their distance in Å.
Positions (direct):
Ca 0.0000 0.0000 0.0000  12 Zn 3.24, 4 Ce 3.39
Ce 0.7500 0.7500 0.7500  12 Zn 3.24, 4 Ca 3.39
Zn 0.3757 0.3757 0.3757  6 Zn 2.75-2.78
Zn 0.3757 0.3757 0.8728  6 Zn 2.75-2.78
Zn 0.3757 0.8728 0.3757  6 Zn 2.75-2.78
Zn 0.8728 0.3757 0.3757  6 Zn 2.75-2.78

---

Ranked by calculated energy, most stable first: x, w.

---

w:
Material: Ca2Cl
Method: DFT, GGA-PBE
State: relaxed

As for the volume: 31.8 A^3/atom. For the magnetic moment, the calculation gives 4.00 μB/cell.

Lattice parameters (Å, degrees): 7.2539 7.2539 7.2539 90.00 90.00 90.00
Last column: nearest neighbours and their distance in Å.
Positions (direct):
Ca 0.2500 0.2500 0.2500  4 Cl 3.14
Ca 0.2500 0.2500 0.7500  4 Cl 3.14
Ca 0.2500 0.7500 0.2500  4 Cl 3.14
Ca 0.2500 0.7500 0.7500  4 Cl 3.14
Ca 0.7500 0.2500 0.2500  4 Cl 3.14
Ca 0.7500 0.2500 0.7500  4 Cl 3.14
Ca 0.7500 0.7500 0.2500  4 Cl 3.14
Ca 0.7500 0.7500 0.7500  4 Cl 3.14
Cl 0.0000 0.0000 0.0000  8 Ca 3.14
Cl 0.0000 0.5000 0.5000  8 Ca 3.14
Cl 0.5000 0.0000 0.5000  8 Ca 3.14
Cl 0.5000 0.5000 0.0000  8 Ca 3.14

---

x:
Material: Ca2Cl
Method: DFT, GGA-PBE
State: relaxed

As for the volume: 33.9 A^3/atom. For the magnetic moment, the calculation gives 0.00 μB/cell.

Lattice parameters (Å, degrees): 7.9264 3.8034 13.4954 90.00 90.00 90.00
Last column: nearest neighbours and their distance in Å.
Positions (direct):
Ca 0.0145 0.2500 0.2490  2 Cl 2.92
Ca 0.2192 0.7500 0.4701  3 Cl 2.94-3.03
Ca 0.2808 0.2500 0.9701  3 Cl 2.94-3.03
Ca 0.4855 0.7500 0.7490  2 Cl 2.92
Ca 0.5145 0.2500 0.2510  2 Cl 2.92
Ca 0.7192 0.7500 0.0299  3 Cl 2.94-3.03
Ca 0.7808 0.2500 0.5299  3 Cl 2.94-3.03
Ca 0.9855 0.7500 0.7510  2 Cl 2.92
Cl 0.0869 0.7500 0.0907  5 Ca 2.92-3.03
Cl 0.4131 0.2500 0.5907  5 Ca 2.92-3.03
Cl 0.5869 0.7500 0.4093  5 Ca 2.92-3.03
Cl 0.9131 0.2500 0.9093  5 Ca 2.92-3.03

---

y:
Material: Ca2Cl
Method: DFT, GGA-PBE
State: relaxed

As for the volume: 33.2 A^3/atom. For the magnetic moment, the calculation gives 0.37 μB/cell.

Lattice parameters (Å, degrees): 9.5280 9.5280 3.7958 90.00 90.00 120.00
Last column: nearest neighbours and their distance in Å.
Positions (direct):
Ca 0.0000 0.2361 0.0000  2 Cl 2.94
Ca 0.0000 0.5748 0.5000  4 Cl 3.42, 4 Ca 3.74-3.80
Ca 0.2361 0.0000 0.0000  2 Cl 2.94
Ca 0.4252 0.4252 0.5000  4 Cl 3.42, 4 Ca 3.74-3.80
Ca 0.5748 0.0000 0.5000  4 Cl 3.42, 4 Ca 3.74-3.80
Ca 0.7639 0.7639 0.0000  2 Cl 2.94
Cl 0.0000 0.0000 0.5000  6 Ca 2.94
Cl 0.3333 0.6667 0.0000  9 Ca 3.42-3.73, 2 Cl 3.80
Cl 0.6667 0.3333 0.0000  9 Ca 3.42-3.73, 2 Cl 3.80

---

z:
Material: Ca2Cl
Method: DFT, GGA-PBE
State: relaxed

As for the volume: 53.3 A^3/atom. For the magnetic moment, the calculation gives 0.00 μB/cell.

Lattice parameters (Å, degrees): 7.4683 7.4683 13.2338 90.00 90.00 120.00
Last column: nearest neighbours and their distance in Å.
Positions (direct):
Ca 0.0000 0.0000 0.0000  6 Ca 3.93
Ca 0.0000 0.0000 0.5000  6 Ca 3.93
Ca 0.1640 0.3280 0.2500  2 Cl 2.79
Ca 0.1640 0.8360 0.2500  2 Cl 2.79
Ca 0.3280 0.1640 0.7500  2 Cl 2.79
Ca 0.6720 0.8360 0.2500  2 Cl 2.79
Ca 0.8360 0.1640 0.7500  2 Cl 2.79
Ca 0.8360 0.6720 0.7500  2 Cl 2.79
Cl 0.3333 0.6667 0.1200  3 Ca 2.79
Cl 0.3333 0.6667 0.3800  3 Ca 2.79
Cl 0.6667 0.3333 0.6200  3 Ca 2.79
Cl 0.6667 0.3333 0.8800  3 Ca 2.79

---

Ranked by calculated energy, most stable first: x, y, z, w.

---

w:
Material: CaCl5
Method: DFT, GGA-PBE
State: relaxed

As for the volume: 33.6 A^3/atom. For the magnetic moment, the calculation gives 2.05 μB/cell.

Lattice parameters (Å, degrees): 9.2334 4.1703 11.4083 90.00 113.32 90.00
Last column: nearest neighbours and their distance in Å.
Positions (direct):
Ca 0.0000 0.0000 0.0000  6 Cl 2.69-2.88
Ca 0.5000 0.5000 0.0000  6 Cl 2.69-2.88
Cl 0.0476 0.0000 0.5761  1 Cl 2.03
Cl 0.1705 0.0000 0.4623  1 Cl 2.03
Cl 0.2071 0.0000 0.2536  1 Cl 2.53, 1 Ca 2.77
Cl 0.3350 0.0000 0.0642  1 Cl 2.84, 3 Ca 2.84-2.88
Cl 0.4987 0.0000 0.8511  2 Ca 2.69
Cl 0.5476 0.5000 0.5761  1 Cl 2.03
Cl 0.6705 0.5000 0.4623  1 Cl 2.03
Cl 0.7071 0.5000 0.2536  1 Cl 2.53, 1 Ca 2.77
Cl 0.8350 0.5000 0.0642  1 Cl 2.84, 3 Ca 2.84-2.88
Cl 0.9987 0.5000 0.8511  2 Ca 2.69

---

x:
Material: CaCl5
Method: DFT, GGA-PBE
State: relaxed

As for the volume: 29.3 A^3/atom. For the magnetic moment, the calculation gives 0.00 μB/cell.

Lattice parameters (Å, degrees): 7.5241 3.9382 11.8646 90.00 90.00 90.00
Last column: nearest neighbours and their distance in Å.
Positions (direct):
Ca 0.0000 0.0000 0.0000  4 Cl 2.60
Ca 0.0000 0.5000 0.5000  4 Cl 2.60
Cl 0.0000 0.0000 0.3569  2 Ca 2.60
Cl 0.0000 0.0000 0.6434  2 Ca 2.60
Cl 0.0000 0.5000 0.1434  2 Ca 2.60
Cl 0.0000 0.5000 0.8569  2 Ca 2.60
Cl 0.5000 0.0000 0.1966  4 Cl 2.75-2.79
Cl 0.5000 0.0000 0.5295  4 Cl 2.79-2.82
Cl 0.5000 0.0000 0.8590  4 Cl 2.75-2.82
Cl 0.5000 0.5000 0.0295  4 Cl 2.79-2.82
Cl 0.5000 0.5000 0.3590  4 Cl 2.75-2.82
Cl 0.5000 0.5000 0.6966  4 Cl 2.75-2.79

---

Ranked by calculated energy, most stable first: w, x.